(1)
The following is a PBE calculation of Cs3Rb2SrBr6 after structural relaxation, from Alexandria.

Calculated values
Raw formation energy   -1.698 eV/atom
Crystal system   monoclinic

Cell lengths 8.741, 8.741, 9.010 Å; angles 99.26, 99.26, 119.93 degrees
Element x y z (fractional)
Cs 0.000 0.000 0.000
Cs 0.331 0.669 0.000
Cs 0.669 0.331 0.000
Rb 0.166 0.834 0.500
Rb 0.834 0.166 0.500
Sr 0.500 0.500 0.500
Br 0.135 0.430 0.291
Br 0.276 0.276 0.713
Br 0.430 0.135 0.291
Br 0.570 0.865 0.709
Br 0.724 0.724 0.287
Br 0.865 0.570 0.709


(2)
The following is a PBE calculation of Nd2InGa2Rh5 after structural relaxation, from Alexandria.

Calculated values
Crystal system   tetragonal
Formation enthalpy at 0 K   -0.7147 eV/atom

Cell lengths 9.985, 9.985, 3.632 Å; angles 90.00, 90.00, 90.00 degrees
Element x y z (fractional)
Nd 0.176 0.324 0.000
Nd 0.324 0.824 0.000
Nd 0.676 0.176 0.000
Nd 0.824 0.676 0.000
In 0.000 0.000 0.000
In 0.500 0.500 0.000
Ga 0.122 0.622 0.000
Ga 0.378 0.122 0.000
Ga 0.622 0.878 0.000
Ga 0.878 0.378 0.000
Rh 0.000 0.500 0.500
Rh 0.068 0.790 0.500
Rh 0.210 0.068 0.500
Rh 0.290 0.568 0.500
Rh 0.432 0.290 0.500
Rh 0.500 0.000 0.500
Rh 0.568 0.710 0.500
Rh 0.710 0.432 0.500
Rh 0.790 0.932 0.500
Rh 0.932 0.210 0.500


no.,energy (eV/atom)
1,-3.049
2,-6.223